Record 1
Material: CrRhPb
Method: DFT, PBE
State: relaxed

```
CrRhPb
1.0
0.000 3.143 3.143
3.143 0.000 3.143
3.143 3.143 0.000
Cr Rh Pb
1 1 1
Cartesian
0.000 0.000 0.000
4.714 4.714 4.714
3.143 3.143 3.143
```

Computed properties:
Formation energy from the elements in eV/f.u.: 1.0
ρ in g/cm³: 9.68
Space-group type: No. 216
Total moment in μB/cell: 3.52
Relative energy among the computed polymorphs in eV per atom: 0.010

Record 2
Material: CrRhPb2
Method: DFT, PBE
State: relaxed

```
CrRhPb2
1.0
3.281 0.000 0.000
0.000 3.281 0.000
0.000 0.000 8.194
Cr Rh Pb
1 1 2
Cartesian
0.000 0.000 0.000
1.641 1.641 7.020
0.000 0.000 5.060
1.641 1.641 1.976
```

Computed properties:
Formation energy from the elements in eV/f.u.: 0.8
ρ in g/cm³: 10.71
Space-group type: No. 99
Total moment in μB/cell: 3.28
Relative energy among the computed polymorphs in eV per atom: 0.000

Record 3
Material: CrRhPb2
Method: DFT, PBE
State: relaxed

```
CrRhPb2
1.0
3.448 0.000 0.000
0.000 3.448 0.000
0.000 0.000 6.930
Cr Rh Pb
1 1 2
Cartesian
0.000 0.000 0.000
0.000 0.000 3.465
1.724 1.724 1.837
1.724 1.724 5.093
```

Computed properties:
Formation energy from the elements in eV/f.u.: 1.4
ρ in g/cm³: 11.48
Space-group type: No. 123
Total moment in μB/cell: 4.06
Relative energy among the computed polymorphs in eV per atom: 0.158

Record 4
Material: CrRhPb2
Method: DFT, PBE
State: relaxed

```
CrRhPb2
1.0
1.606 0.927 9.982
-1.606 0.927 9.982
0.000 -1.854 9.982
Cr Rh Pb
1 1 2
Cartesian
0.000 0.000 0.000
0.000 0.000 8.240
0.000 0.000 15.891
0.000 0.000 22.475
```

Computed properties:
Formation energy from the elements in eV/f.u.: 1.5
ρ in g/cm³: 10.60
Space-group type: No. 160
Total moment in μB/cell: 3.33
Relative energy among the computed polymorphs in eV per atom: 0.187

Record 5
Material: CrRhPb2
Method: DFT, PBE
State: relaxed

```
CrRhPb2
1.0
-1.666 2.284 5.687
1.666 -2.284 5.687
1.666 2.284 -5.687
Cr Rh Pb
1 1 2
Cartesian
0.000 0.000 0.000
1.666 0.000 2.018
0.000 0.000 4.735
0.000 2.284 2.244
```

Computed properties:
Formation energy from the elements in eV/f.u.: 1.3
ρ in g/cm³: 10.92
Space-group type: No. 44
Total moment in μB/cell: 3.68
Relative energy among the computed polymorphs in eV per atom: 0.128

Record 6
Material: CrRhPb2
Method: DFT, PBE
State: relaxed

```
CrRhPb2
1.0
-2.054 2.054 4.851
2.054 -2.054 4.851
2.054 2.054 -4.851
Cr Rh Pb
1 1 2
Cartesian
0.000 0.000 0.000
0.000 2.054 2.426
2.054 0.000 2.426
0.000 0.000 4.851
```

Computed properties:
Formation energy from the elements in eV/f.u.: 1.5
ρ in g/cm³: 11.54
Space-group type: No. 119
Total moment in μB/cell: 3.54
Relative energy among the computed polymorphs in eV per atom: 0.179

Record 7
Material: CrRhPb2
Method: DFT, PBE
State: relaxed

```
CrRhPb2
1.0
1.699 0.981 8.595
-1.699 0.981 8.595
0.000 -1.962 8.595
Cr Rh Pb
1 1 2
Cartesian
0.000 0.000 0.000
0.000 0.000 12.893
0.000 0.000 6.308
0.000 0.000 19.478
```

Computed properties:
Formation energy from the elements in eV/f.u.: 1.6
ρ in g/cm³: 10.99
Space-group type: No. 166
Total moment in μB/cell: 3.71
Relative energy among the computed polymorphs in eV per atom: 0.215

Record 8
Material: CrRhPb2
Method: DFT, PBE
State: relaxed

```
CrRhPb2
1.0
0.000 3.480 3.480
3.480 0.000 3.480
3.480 3.480 0.000
Cr Rh Pb
1 1 2
Cartesian
0.000 0.000 0.000
5.220 5.220 5.220
1.740 1.740 1.740
3.480 3.480 3.480
```

Computed properties:
Formation energy from the elements in eV/f.u.: 1.9
ρ in g/cm³: 11.21
Space-group type: No. 216
Total moment in μB/cell: 3.67
Relative energy among the computed polymorphs in eV per atom: 0.290